Na2ZnAgPb (PBE, optimized geometry); D(E_F) = 0.525 states/eV/atom; final energy = -1.871 eV/atom; formation enthalpy at 0 K = 0.223 eV/atom; space-group type = P4/mmm, No. 123
1.0
5.3732 0.0000 0.0000
0.0000 5.3732 0.0000
0.0000 0.0000 4.9085
Na Zn Ag Pb
2 1 1 1
direct
0.0000 0.5000 0.0000
0.5000 0.0000 0.0000
0.0000 0.0000 0.0000
0.0000 0.0000 0.5000
0.5000 0.5000 0.5000